Run A
Density functional theory data (GGA-PBE) for a geometry-optimized BaReAsBr2 structure.

The structure in CIF format:
```
data_BaReAsBr2
_chemical_formula_sum 'Ba1 Re1 As1 Br2'
_cell_length_a 5.374
_cell_length_b 5.374
_cell_length_c 4.793
_cell_angle_alpha 90.00
_cell_angle_beta 90.00
_cell_angle_gamma 90.00
_space_group_name_H-M_alt 'P 4/m m m'
_space_group_IT_number 123
_space_group_name_Hall '-P 4 2'
loop_
_atom_site_label
_atom_site_fract_x
_atom_site_fract_y
_atom_site_fract_z
_atom_site_occupancy
Ba1 0.000 0.000 0.000 1
Re1 0.500 0.500 0.500 1
As1 0.500 0.500 0.000 1
Br1 0.000 0.500 0.500 1
```

Summary:
For the density, the calculation gives 6.70 Mg/m³.

Run B
Density functional theory data (GGA-PBE) for a geometry-optimized BaReAsBr2 structure.

The structure in CIF format:
```
data_BaReAsBr2
_chemical_formula_sum 'Ba1 Re1 As1 Br2'
_cell_length_a 6.176
_cell_length_b 6.176
_cell_length_c 6.667
_cell_angle_alpha 90.00
_cell_angle_beta 90.00
_cell_angle_gamma 90.00
_space_group_name_H-M_alt 'P 4/m m m'
_space_group_IT_number 123
_space_group_name_Hall '-P 4 2'
loop_
_atom_site_label
_atom_site_fract_x
_atom_site_fract_y
_atom_site_fract_z
_atom_site_occupancy
Ba1 0.000 0.000 0.000 1
Re1 0.500 0.500 0.500 1
As1 0.000 0.000 0.500 1
Br1 0.000 0.500 0.000 1
```

Summary:
For the density, the calculation gives 3.65 Mg/m³.

Name the least stable of them. run B.

Run A
Density functional theory data (GGA-PBE) for a geometry-optimized BaAs2RhBr structure.

The structure in CIF format:
```
data_BaAs2RhBr
_chemical_formula_sum 'Ba1 As2 Rh1 Br1'
_cell_length_a 4.812
_cell_length_b 4.812
_cell_length_c 5.819
_cell_angle_alpha 90.00
_cell_angle_beta 90.00
_cell_angle_gamma 90.00
_space_group_name_H-M_alt 'P 4/m m m'
_space_group_IT_number 123
_space_group_name_Hall '-P 4 2'
loop_
_atom_site_label
_atom_site_fract_x
_atom_site_fract_y
_atom_site_fract_z
_atom_site_occupancy
Ba1 0.000 0.000 0.000 1
As1 0.000 0.500 0.500 1
Rh1 0.500 0.500 0.500 1
Br1 0.500 0.500 0.000 1
```

Summary:
For the density, the calculation gives 5.79 Mg/m³.

Run B
Density functional theory data (GGA-PBE) for a geometry-optimized BaAs2RhBr structure.

The structure in CIF format:
```
data_BaAs2RhBr
_chemical_formula_sum 'Ba1 As2 Rh1 Br1'
_cell_length_a 6.391
_cell_length_b 6.391
_cell_length_c 6.123
_cell_angle_alpha 90.00
_cell_angle_beta 90.00
_cell_angle_gamma 90.00
_space_group_name_H-M_alt 'P 4/m m m'
_space_group_IT_number 123
_space_group_name_Hall '-P 4 2'
loop_
_atom_site_label
_atom_site_fract_x
_atom_site_fract_y
_atom_site_fract_z
_atom_site_occupancy
Ba1 0.000 0.000 0.000 1
As1 0.000 0.500 0.000 1
Rh1 0.500 0.500 0.500 1
Br1 0.000 0.000 0.500 1
```

Summary:
For the density, the calculation gives 3.12 Mg/m³.

Name the least stable of them. run B.

Run A
Density functional theory data (GGA-PBE) for a geometry-optimized BaSnAs2Br structure.

The structure in CIF format:
```
data_BaSnAs2Br
_chemical_formula_sum 'Ba1 Sn1 As2 Br1'
_cell_length_a 5.267
_cell_length_b 5.267
_cell_length_c 5.899
_cell_angle_alpha 90.00
_cell_angle_beta 90.00
_cell_angle_gamma 90.00
_space_group_name_H-M_alt 'P 4/m m m'
_space_group_IT_number 123
_space_group_name_Hall '-P 4 2'
loop_
_atom_site_label
_atom_site_fract_x
_atom_site_fract_y
_atom_site_fract_z
_atom_site_occupancy
Ba1 0.000 0.000 0.000 1
Sn1 0.500 0.500 0.500 1
As1 0.000 0.500 0.500 1
Br1 0.500 0.500 0.000 1
```

Summary:
For the density, the calculation gives 4.93 Mg/m³.

Run B
Density functional theory data (GGA-PBE) for a geometry-optimized BaSnAs2Br structure.

The structure in CIF format:
```
data_BaSnAs2Br
_chemical_formula_sum 'Ba1 Sn1 As2 Br1'
_cell_length_a 5.915
_cell_length_b 5.915
_cell_length_c 5.950
_cell_angle_alpha 90.00
_cell_angle_beta 90.00
_cell_angle_gamma 90.00
_space_group_name_H-M_alt 'P 4/m m m'
_space_group_IT_number 123
_space_group_name_Hall '-P 4 2'
loop_
_atom_site_label
_atom_site_fract_x
_atom_site_fract_y
_atom_site_fract_z
_atom_site_occupancy
Ba1 0.000 0.000 0.000 1
Sn1 0.500 0.500 0.500 1
As1 0.000 0.500 0.000 1
Br1 0.000 0.000 0.500 1
```

Summary:
For the density, the calculation gives 3.88 Mg/m³.

Name the least stable of them. run B.

Run A
Density functional theory data (GGA-PBE) for a geometry-optimized BaTaAs2Br structure.

The structure in CIF format:
```
data_BaTaAs2Br
_chemical_formula_sum 'Ba1 Ta1 As2 Br1'
_cell_length_a 5.066
_cell_length_b 5.066
_cell_length_c 5.370
_cell_angle_alpha 90.00
_cell_angle_beta 90.00
_cell_angle_gamma 90.00
_space_group_name_H-M_alt 'P 4/m m m'
_space_group_IT_number 123
_space_group_name_Hall '-P 4 2'
loop_
_atom_site_label
_atom_site_fract_x
_atom_site_fract_y
_atom_site_fract_z
_atom_site_occupancy
Ba1 0.000 0.000 0.000 1
Ta1 0.500 0.500 0.500 1
As1 0.000 0.500 0.500 1
Br1 0.500 0.500 0.000 1
```

Summary:
For the density, the calculation gives 6.60 Mg/m³.

Run B
Density functional theory data (GGA-PBE) for a geometry-optimized BaTaAs2Br structure.

The structure in CIF format:
```
data_BaTaAs2Br
_chemical_formula_sum 'Ba1 Ta1 As2 Br1'
_cell_length_a 5.840
_cell_length_b 5.840
_cell_length_c 5.826
_cell_angle_alpha 90.00
_cell_angle_beta 90.00
_cell_angle_gamma 90.00
_space_group_name_H-M_alt 'P 4/m m m'
_space_group_IT_number 123
_space_group_name_Hall '-P 4 2'
loop_
_atom_site_label
_atom_site_fract_x
_atom_site_fract_y
_atom_site_fract_z
_atom_site_occupancy
Ba1 0.000 0.000 0.000 1
Ta1 0.500 0.500 0.500 1
As1 0.000 0.500 0.000 1
Br1 0.000 0.000 0.500 1
```

Summary:
For the density, the calculation gives 4.58 Mg/m³.

Name the least stable of them. run B.